Computed, not measured: a PBEsol-optimized structure of FeNiPt2 at the meta-GGA SCAN level of DFT.

POSCAR file:
```
FeNiPt2
1.0
-0.8140 -3.4252 -1.2038
2.9418 0.1007 -2.2759
1.1122 0.1795 4.4870
Pt Fe Ni
2 1 1
direct
0.2500 0.7500 0.5000
0.0000 0.0000 0.0000
0.5000 0.5000 0.0000
0.7500 0.2500 0.5000
```

Values from the calculation:
Its space group is I-4m2, No. 119. Its volume is 53 Å³ per cell. The calculation puts the energy at -43.96 eV per atom. For the total magnetization, the calculation gives 4.84 μB/cell.


Computed, not measured: a PBEsol-optimized structure of CrMo2Pb at the meta-GGA SCAN level of DFT.

POSCAR file:
```
CrMo2Pb
1.0
2.9574 0.0157 0.0000
-0.2705 2.9451 0.0000
0.0000 0.0000 7.5626
Mo Cr Pb
2 1 1
direct
0.0000 0.0000 0.1970
0.0000 0.0000 0.8030
0.5000 0.5000 0.0000
0.5000 0.5000 0.5000
```

Values from the calculation:
Its space group is Cmmm, No. 65. Its volume is 66 Å³ per cell. The calculation puts the energy at -40.44 eV per atom. For the total magnetization, the calculation gives 0.00 μB/cell.


Computed, not measured: a PBEsol-optimized structure of TaCd2CoHg at the meta-GGA SCAN level of DFT.

POSCAR file:
```
TaCd2CoHg
1.0
4.6831 0.0000 0.0000
0.0000 4.9700 0.0000
0.0000 0.0000 4.9700
Cd Ta Hg Co
2 1 1 1
direct
0.0000 0.0000 0.5000
0.0000 0.5000 0.0000
0.5000 0.5000 0.5000
0.0000 0.0000 0.0000
0.5000 0.0000 0.0000
```

Values from the calculation:
Its space group is P4/mmm, No. 123. Its volume is 116 Å³ per cell. The calculation puts the energy at -40.96 eV per atom. For the total magnetization, the calculation gives 0.16 μB/cell.


Computed, not measured: a PBEsol-optimized structure of YMnReF2 at the meta-GGA SCAN level of DFT.

POSCAR file:
```
YMnReF2
1.0
-0.5758 2.2642 -3.4035
-0.0011 -3.4372 -2.2864
-4.6034 -0.3581 0.5406
Y Re F Mn
1 1 2 1
direct
0.5000 0.5000 0.5000
0.0000 0.0000 0.0000
0.0000 0.5000 0.0000
0.5000 0.0000 0.0000
0.0000 0.0000 0.5000
```

Values from the calculation:
Its space group is P4/mmm, No. 123. Its volume is 79 Å³ per cell. For the formation energy from raw total energies, the calculation gives -0.47 eV/atom. For the total magnetization, the calculation gives 2.50 μB/cell.